VASP calculation (PBE) on an optimized crystal structure of Ac2Al3Ag2.

Structure (POSCAR):
```
Ac2Al3Ag2
1.0
2.3640 -9.9387 0.0000
2.3640 9.9387 0.0000
0.0000 0.0000 7.5900
Ac Al Ag
4 6 4
direct
0.0576 0.9424 0.7500
0.1582 0.8418 0.2500
0.8418 0.1582 0.7500
0.9424 0.0576 0.2500
0.2257 0.7743 0.7500
0.4423 0.5577 0.5778
0.4423 0.5577 0.9222
0.5577 0.4423 0.0778
0.5577 0.4423 0.4222
0.7743 0.2257 0.2500
0.3128 0.6872 0.0578
0.3128 0.6872 0.4422
0.6872 0.3128 0.5578
0.6872 0.3128 0.9422
```

- Calculated total energy: -54.40 eV per cell
- Volume: 25.475 Å³ per atom
- Formation energy from the elements: -293 meV per atom
- Symmetry: Cmcm, No. 63

***

VASP calculation (PBE) on an optimized crystal structure of Cu2SnH2.

Structure (POSCAR):
```
Cu2SnH2
1.0
3.1357 0.0000 0.0000
0.0000 3.1357 0.0000
0.0000 0.0000 12.0483
Cu Sn H
4 2 4
direct
0.0000 0.0000 0.1804
0.0000 0.0000 0.8196
0.5000 0.5000 0.3196
0.5000 0.5000 0.6804
0.0000 0.0000 0.5000
0.5000 0.5000 0.0000
0.0000 0.5000 0.2500
0.0000 0.5000 0.7500
0.5000 0.0000 0.2500
0.5000 0.0000 0.7500
```

- Calculated total energy: -35.26 eV per cell
- Volume: 11.847 Å³ per atom
- Symmetry: I4/mmm, No. 139

***

VASP calculation (PBE) on an optimized crystal structure of Pm2Si2Hg.

Structure (POSCAR):
```
Pm2Si2Hg
1.0
7.3371 0.0000 0.0000
0.0000 7.3371 0.0000
0.0000 0.0000 4.2940
Pm Si Hg
4 4 2
direct
0.1798 0.3202 0.0000
0.3202 0.8202 0.0000
0.6798 0.1798 0.0000
0.8202 0.6798 0.0000
0.1146 0.6146 0.5000
0.3854 0.1146 0.5000
0.6146 0.8854 0.5000
0.8854 0.3854 0.5000
0.0000 0.0000 0.5000
0.5000 0.5000 0.5000
```

- Calculated total energy: -47.69 eV per cell
- Volume: 23.116 Å³ per atom
- Formation energy without anion corrections: -0.64 eV per atom
- Symmetry: P4/mbm, No. 127

***

VASP calculation (PBE) on an optimized crystal structure of NdSm2Dy4Ho2.

Structure (POSCAR):
```
NdSm2Dy4Ho2
1.0
9.3440 -1.8033 0.0000
9.3440 1.8033 0.0000
-4.1498 0.0000 8.6327
Nd Sm Dy Ho
1 2 4 2
direct
0.0000 0.0000 0.0000
0.1478 0.1478 0.6663
0.8522 0.8522 0.3337
0.1854 0.1854 0.3342
0.4809 0.4809 0.6664
0.5191 0.5191 0.3336
0.8146 0.8146 0.6658
0.3323 0.3323 0.9979
0.6677 0.6677 0.0021
```

- Calculated total energy: -41.73 eV per cell
- Volume: 32.325 Å³ per atom
- Formation energy from the elements: 4 meV per atom
- Symmetry: C2/m, No. 12

***

VASP calculation (PBE) on an optimized crystal structure of Ba2TlCu.

Structure (POSCAR):
```
Ba2TlCu
1.0
4.8526 0.0000 0.0000
-2.4263 4.2025 0.0000
0.0000 0.0000 25.3125
Ba Tl Cu
6 3 3
direct
0.0000 0.0000 0.0000
0.0000 0.0000 0.1677
0.3333 0.6667 0.6667
0.3333 0.6667 0.8344
0.6667 0.3333 0.3333
0.6667 0.3333 0.5010
0.0000 0.0000 0.7502
0.3333 0.6667 0.4169
0.6667 0.3333 0.0836
0.0000 0.0000 0.4171
0.3333 0.6667 0.0837
0.6667 0.3333 0.7504
```

- Calculated total energy: -32.77 eV per cell
- Volume: 43.016 Å³ per atom
- Formation energy from the elements: -154 meV per atom
- Symmetry: R3m, No. 160

***

VASP calculation (PBE) on an optimized crystal structure of LaBe2TcNi.

Structure (POSCAR):
```
LaBe2TcNi
1.0
4.1638 0.0000 0.0000
0.0000 4.1638 0.0000
0.0000 0.0000 4.7443
La Be Tc Ni
1 2 1 1
direct
0.0000 0.0000 0.0000
0.0000 0.5000 0.5000
0.5000 0.0000 0.5000
0.5000 0.5000 0.0000
0.5000 0.5000 0.5000
```

- Calculated total energy: -27.10 eV per cell
- Volume: 16.451 Å³ per atom
- Formation energy from the elements: 286 meV per atom
- Symmetry: P4/mmm, No. 123

***

VASP calculation (PBE) on an optimized crystal structure of ScZn2Os.

Structure (POSCAR):
```
ScZn2Os
1.0
3.2618 0.0000 0.0000
0.0000 4.6624 0.0000
0.0000 0.0000 8.5831
Sc Zn Os
2 4 2
direct
0.0000 0.0000 0.0000
0.5000 0.5000 0.0000
0.0000 0.0000 0.4782
0.0000 0.5000 0.7233
0.5000 0.0000 0.7233
0.5000 0.5000 0.4782
0.0000 0.5000 0.2386
0.5000 0.0000 0.2386
```

- Calculated total energy: -39.94 eV per cell
- Volume: 16.317 Å³ per atom
- Formation energy from the elements: 35 meV per atom
- Symmetry: Cmm2, No. 35

***

VASP calculation (PBE) on an optimized crystal structure of Zr6HgN.

Structure (POSCAR):
```
Zr6HgN
1.0
4.2777 2.4697 2.5925
-4.2777 2.4697 2.5925
0.0000 -4.9394 2.5925
Zr Hg N
6 1 1
direct
0.0812 0.7711 0.6607
0.2289 0.3393 0.9188
0.3393 0.9188 0.2289
0.6607 0.0812 0.7711
0.7711 0.6607 0.0812
0.9188 0.2289 0.3393
0.5000 0.5000 0.5000
0.0000 0.0000 0.0000
```

- Calculated total energy: -63.59 eV per cell
- Volume: 20.546 Å³ per atom
- Formation energy without anion corrections: -0.46 eV per atom
- Symmetry: R-3, No. 148